# 1
This record from Alexandria via LeMat-Bulk describes a geometry-optimized DyY2Er2Mg2 structure. The functional is PBE-GGA.

Cell lengths 5.4287, 5.4287, 8.5562 Å; angles 71.50, 71.50, 60.00 degrees
Last column: nearest neighbours and their distance in Å.
Atoms (fractional coordinates):
Dy 0.0000 0.0000 0.0000  6 Mg 3.31, 2 Y 3.70
Y 0.1549 0.1549 0.5354  3 Y 3.18, 1 Mg 3.21, 3 Er 3.46
Y 0.8451 0.8451 0.4646  3 Y 3.18, 1 Mg 3.21, 3 Er 3.46
Er 0.5734 0.5734 0.2799  4 Mg 3.28-3.35, 3 Y 3.46, 1 Er 3.51
Er 0.4266 0.4266 0.7201  4 Mg 3.28-3.35, 3 Y 3.46, 1 Er 3.51
Mg 0.7108 0.7108 0.8676  1 Y 3.21, 4 Er 3.28-3.35, 3 Dy 3.31
Mg 0.2892 0.2892 0.1324  1 Y 3.21, 4 Er 3.28-3.35, 3 Dy 3.31


# 2
This record from Alexandria via LeMat-Bulk describes a geometry-optimized Dy2YEr2Mg5 structure. The functional is PBE-GGA.

Cell lengths 5.0517, 10.5368, 10.5368 Å; angles 90.00, 90.00, 90.00 degrees
Last column: nearest neighbours and their distance in Å.
Atoms (fractional coordinates):
Dy 0.0000 0.6776 0.1776  3 Er 3.03-3.18
Dy 0.0000 0.3224 0.8224  3 Er 3.03-3.18
Dy 0.0000 0.1776 0.3224  3 Er 3.03-3.18
Dy 0.0000 0.8224 0.6776  3 Er 3.03-3.18
Y 0.0000 0.0000 0.0000  8 Mg 3.36
Y 0.0000 0.5000 0.5000  8 Mg 3.36
Er 0.0000 0.1187 0.6187  3 Dy 3.03-3.18, 6 Mg 3.08-3.22
Er 0.0000 0.8813 0.3813  3 Dy 3.03-3.18, 6 Mg 3.08-3.22
Er 0.0000 0.6187 0.8813  3 Dy 3.03-3.18, 6 Mg 3.08-3.22
Er 0.0000 0.3813 0.1187  3 Dy 3.03-3.18, 6 Mg 3.08-3.22
Mg 0.5000 0.1969 0.0749  4 Mg 3.14-3.40, 2 Er 3.22, 2 Y 3.36
Mg 0.5000 0.8031 0.9251  4 Mg 3.14-3.40, 2 Er 3.22, 2 Y 3.36
Mg 0.5000 0.0749 0.8031  4 Mg 3.14-3.40, 2 Er 3.22, 2 Y 3.36
Mg 0.5000 0.6969 0.4251  4 Mg 3.14-3.40, 2 Er 3.22, 2 Y 3.36
Mg 0.5000 0.9251 0.1969  4 Mg 3.14-3.40, 2 Er 3.22, 2 Y 3.36
Mg 0.5000 0.3031 0.5749  4 Mg 3.14-3.40, 2 Er 3.22, 2 Y 3.36
Mg 0.5000 0.5749 0.6969  4 Mg 3.14-3.40, 2 Er 3.22, 2 Y 3.36
Mg 0.5000 0.4251 0.3031  4 Mg 3.14-3.40, 2 Er 3.22, 2 Y 3.36
Mg 0.5000 0.5000 0.0000  4 Er 3.08, 4 Mg 3.29
Mg 0.5000 0.0000 0.5000  4 Er 3.08, 4 Mg 3.29


# 3
This record from Alexandria via LeMat-Bulk describes a geometry-optimized Dy3Y6Er2Mg structure. The functional is PBE-GGA.

Cell lengths 6.1325, 6.1325, 11.6729 Å; angles 95.07, 95.07, 120.03 degrees
Last column: nearest neighbours and their distance in Å.
Atoms (fractional coordinates):
Dy 0.1659 0.8341 0.5000  6 Dy 3.52-3.55, 6 Y 3.54-3.56
Dy 0.8341 0.1659 0.5000  6 Dy 3.52-3.55, 6 Y 3.54-3.56
Dy 0.5000 0.5000 0.5000  6 Dy 3.54-3.55, 6 Y 3.54-3.55
Y 0.9186 0.5860 0.7528  1 Mg 3.49, 2 Er 3.50-3.51, 6 Y 3.53-3.55, 3 Dy 3.55-3.56
Y 0.7486 0.7486 0.2482  2 Er 3.50, 1 Mg 3.51, 6 Y 3.53-3.55, 3 Dy 3.54
Y 0.0814 0.4140 0.2472  1 Mg 3.49, 2 Er 3.50-3.51, 6 Y 3.53-3.55, 3 Dy 3.55-3.56
Y 0.5860 0.9186 0.7528  1 Mg 3.49, 2 Er 3.50-3.51, 6 Y 3.53-3.55, 3 Dy 3.55-3.56
Y 0.2514 0.2514 0.7518  2 Er 3.50, 1 Mg 3.51, 6 Y 3.53-3.55, 3 Dy 3.54
Y 0.4140 0.0814 0.2472  1 Mg 3.49, 2 Er 3.50-3.51, 6 Y 3.53-3.55, 3 Dy 3.55-3.56
Er 0.3338 0.6662 0.0000  6 Y 3.50-3.51, 3 Er 3.53-3.54, 3 Mg 3.54-3.55
Er 0.6662 0.3338 0.0000  6 Y 3.50-3.51, 3 Er 3.53-3.54, 3 Mg 3.54-3.55
Mg 0.0000 0.0000 0.0000  6 Y 3.49-3.51, 6 Er 3.54-3.55


# 4
This record from Alexandria via LeMat-Bulk describes a geometry-optimized DyYErMg structure. The functional is PBE-GGA.

As for the energy above the most stable polymorph in this dataset: 0 meV/atom.

Cell lengths 3.5785, 3.5785, 9.2184 Å; angles 90.00, 90.00, 90.00 degrees
Last column: nearest neighbours and their distance in Å.
Atoms (fractional coordinates):
Dy 0.5000 0.5000 0.3342  4 Mg 3.34, 4 Er 3.49, 4 Dy 3.58
Y 0.5000 0.5000 0.8072  4 Mg 3.34, 4 Er 3.52, 4 Y 3.58
Er 0.0000 0.0000 0.0729  4 Dy 3.49, 4 Y 3.52, 4 Er 3.58
Mg 0.0000 0.0000 0.5704  4 Dy 3.34, 4 Y 3.34, 4 Mg 3.58


no.,energy of formation (eV/atom)
1,-0.012
2,0.066
3,0.035
4,-0.028